[1]
The following is a DFT calculation (PBE-GGA) of an optimized crystal structure of Cu3SbS4.

## Properties
**Size of the total moment**: 0.00 μB per formula unit
**Total energy**: -4.35 eV/atom
**Formation energy (no corrections)**: -0.23 eV/atom

The structure in POSCAR format:
```
Cu3SbS4
1.0
-2.713 2.713 5.414
2.713 -2.713 5.414
2.713 2.713 -5.414
Cu Sb S
3 1 4
Direct
0.000 0.000 0.000
0.250 0.750 0.500
0.750 0.250 0.500
0.500 0.500 0.000
0.103 0.103 0.471
0.368 0.897 0.000
0.632 0.632 0.529
0.897 0.368 0.000
```

---

[2]
The following is a DFT calculation (PBE-GGA) of an optimized crystal structure of Cu11Sb4S13.

## Properties
**Size of the total moment**: 0.00 μB per formula unit
**Total energy**: -4.30 eV/atom
**Formation energy (no corrections)**: -0.18 eV/atom

The structure in POSCAR format:
```
Cu11Sb4S13
1.0
5.271 -7.138 0.000
5.271 7.138 0.000
-4.938 0.000 7.324
Cu Sb S
11 4 13
Direct
0.000 0.000 0.000
0.022 0.530 0.460
0.035 0.287 0.739
0.287 0.035 0.739
0.477 0.477 0.212
0.518 0.719 0.700
0.519 0.519 0.869
0.530 0.022 0.460
0.719 0.518 0.700
0.811 0.998 0.210
0.998 0.811 0.210
0.266 0.796 0.000
0.319 0.319 0.509
0.796 0.266 0.000
0.808 0.808 0.448
0.012 0.267 0.465
0.033 0.568 0.218
0.036 0.036 0.766
0.251 0.251 0.201
0.267 0.012 0.465
0.284 0.767 0.715
0.309 0.522 0.966
0.522 0.309 0.966
0.522 0.757 0.460
0.568 0.033 0.218
0.757 0.522 0.460
0.767 0.284 0.715
0.768 0.768 0.954
```